(1)
Below is a geometry-optimized Tb3Co4Sn13 structure, with properties calculated at the PBEsol level.

a b c (Å): 9.4042 9.4042 9.4042
angles (deg): 90.00 90.00 90.00
With the nearest neighbours (Å) after each atom.
Sites, in units of the cell vectors:
Tb1 0.0000 0.2500 0.5000  12 Sn 3.26-3.34, 4 Co 3.32
Tb2 0.0000 0.7500 0.5000  12 Sn 3.26-3.34, 4 Co 3.32
Tb3 0.2500 0.5000 0.0000  12 Sn 3.26-3.34, 4 Co 3.32
Tb4 0.5000 0.0000 0.2500  12 Sn 3.26-3.34, 4 Co 3.32
Tb5 0.5000 0.0000 0.7500  12 Sn 3.26-3.34, 4 Co 3.32
Tb6 0.7500 0.5000 0.0000  12 Sn 3.26-3.34, 4 Co 3.32
Co1 0.2500 0.2500 0.2500  6 Sn 2.56
Co2 0.2500 0.2500 0.7500  6 Sn 2.56
Co3 0.2500 0.7500 0.2500  6 Sn 2.56
Co4 0.2500 0.7500 0.7500  6 Sn 2.56
Co5 0.7500 0.2500 0.2500  6 Sn 2.56
Co6 0.7500 0.2500 0.7500  6 Sn 2.56
Co7 0.7500 0.7500 0.2500  6 Sn 2.56
Co8 0.7500 0.7500 0.7500  6 Sn 2.56
Sn1 0.0000 0.0000 0.0000  12 Sn 3.22
Sn2 0.0000 0.3039 0.1575  2 Co 2.56
Sn3 0.0000 0.3039 0.8425  2 Co 2.56
Sn4 0.0000 0.6961 0.1575  2 Co 2.56
Sn5 0.0000 0.6961 0.8425  2 Co 2.56
Sn6 0.1575 0.0000 0.3039  2 Co 2.56
Sn7 0.1575 0.0000 0.6961  2 Co 2.56
Sn8 0.1961 0.5000 0.3425  2 Co 2.56
Sn9 0.1961 0.5000 0.6575  2 Co 2.56
Sn10 0.3039 0.1575 0.0000  2 Co 2.56
Sn11 0.3039 0.8425 0.0000  2 Co 2.56
Sn12 0.3425 0.1961 0.5000  2 Co 2.56
Sn13 0.3425 0.8039 0.5000  2 Co 2.56
Sn14 0.5000 0.3425 0.1961  2 Co 2.56
Sn15 0.5000 0.3425 0.8039  2 Co 2.56
Sn16 0.5000 0.5000 0.5000  12 Sn 3.22
Sn17 0.5000 0.6575 0.1961  2 Co 2.56
Sn18 0.5000 0.6575 0.8039  2 Co 2.56
Sn19 0.6575 0.1961 0.5000  2 Co 2.56
Sn20 0.6575 0.8039 0.5000  2 Co 2.56
Sn21 0.6961 0.1575 0.0000  2 Co 2.56
Sn22 0.6961 0.8425 0.0000  2 Co 2.56
Sn23 0.8039 0.5000 0.3425  2 Co 2.56
Sn24 0.8039 0.5000 0.6575  2 Co 2.56
Sn25 0.8425 0.0000 0.3039  2 Co 2.56
Sn26 0.8425 0.0000 0.6961  2 Co 2.56

Properties
Calculated volume: 831.7 Å³/cell
Energy: -0.20107 Ha/atom
Energy of formation from the pure elements: -8.08 eV/f.u.
Density of states at the Fermi level: 0.4416 states/eV/atom
Space-group type: No. 223

(2)
Below is a geometry-optimized Pb2Br structure, with properties calculated at the PBEsol level.

a b c (Å): 7.3331 7.3331 7.3331
angles (deg): 90.00 90.00 90.00
With the nearest neighbours (Å) after each atom.
Sites, in units of the cell vectors:
Pb1 0.2500 0.2500 0.2500  4 Br 3.18
Pb2 0.2500 0.2500 0.7500  4 Br 3.18
Pb3 0.2500 0.7500 0.2500  4 Br 3.18
Pb4 0.2500 0.7500 0.7500  4 Br 3.18
Pb5 0.7500 0.2500 0.2500  4 Br 3.18
Pb6 0.7500 0.2500 0.7500  4 Br 3.18
Pb7 0.7500 0.7500 0.2500  4 Br 3.18
Pb8 0.7500 0.7500 0.7500  4 Br 3.18
Br1 0.0000 0.0000 0.0000  8 Pb 3.18
Br2 0.0000 0.5000 0.5000  8 Pb 3.18
Br3 0.5000 0.0000 0.5000  8 Pb 3.18
Br4 0.5000 0.5000 0.0000  8 Pb 3.18

Properties
Calculated volume: 394.3 Å³/cell
Energy: -0.11212 Ha/atom
Density of states at the Fermi level: 0.9000 states/eV/atom
Space-group type: No. 225